Entry 1:
## Cs3ThSc2Se6 (PBE-GGA)

Data for Cs3ThSc2Se6 after structural relaxation.

Energy relative to the elements, uncorrected   -1.559 eV per atom
DOS(E_F)   0.400 states/eV/atom
Space group   C2/m
E   -62.261 eV/cell

Cell lengths 7.203, 7.203, 8.721 Å; angles 97.93, 97.93, 120.00 degrees
Fractional coordinates of all 12 atoms:
Cs  0.164  0.836  0.500
Cs  0.836  0.164  0.500
Cs  0.500  0.500  0.500
Th  0.000  0.000  0.000
Sc  0.333  0.667  0.000
Sc  0.667  0.333  0.000
Se  0.939  0.592  0.817
Se  0.713  0.713  0.182
Se  0.061  0.408  0.183
Se  0.592  0.939  0.817
Se  0.287  0.287  0.818
Se  0.408  0.061  0.183

Entry 2:
## MgCrNi2 (PBE-GGA)

Data for MgCrNi2 after structural relaxation.

DOS(E_F)   1.078 states/eV/atom
Space group   R3m
E   -21.717 eV/cell

Cell lengths 8.623, 8.623, 8.623 Å; angles 17.50, 17.50, 17.50 degrees
Fractional coordinates of all 4 atoms:
Cr  0.507  0.507  0.507
Mg  0.747  0.747  0.747
Ni  0.996  0.996  0.996
Ni  0.250  0.250  0.250

Entry 3:
## K4La3PrTe8 (PBE-GGA)

Data for K4La3PrTe8 after structural relaxation.

Energy relative to the elements, uncorrected   -1.480 eV per atom
DOS(E_F)   0.000 states/eV/atom
Space group   R-3m
E   -72.761 eV/cell

Cell lengths 9.397, 9.861, 9.396 Å; angles 118.47, 120.00, 90.00 degrees
Fractional coordinates of all 16 atoms:
K  0.500  0.000  0.000
K  0.500  0.000  0.500
K  0.000  0.000  0.000
K  0.000  0.000  0.500
La  0.500  0.500  0.000
La  0.500  0.500  0.500
La  0.000  0.500  0.500
Pr  0.000  0.500  0.000
Te  0.238  0.716  0.978
Te  0.238  0.716  0.476
Te  0.261  0.284  0.522
Te  0.741  0.716  0.978
Te  0.259  0.284  0.022
Te  0.739  0.716  0.478
Te  0.762  0.284  0.524
Te  0.762  0.284  0.022